Entry from Alexandria: an optimized crystal structure of Nd4SiTe2P (PBE-GGA).

a = 4.318 Å, b = 7.480 Å, c = 7.722 Å
α = 108.81°, β = 90.00°, γ = 90.00°
Sites, in units of the cell vectors:
Te 0.500 0.000 0.500
Te 0.000 0.500 0.500
Nd 0.500 0.238 0.217
Nd 0.000 0.259 0.779
Nd 0.000 0.741 0.221
Nd 0.500 0.762 0.783
P 0.000 0.000 0.000
Si 0.500 0.500 0.000

Summary:
The value obtained for the formation energy without anion corrections is -130.8 kJ per mole of atoms.